CaMgZnGe2 | PBE | optimized geometry

The structure in POSCAR format:
```
CaMgZnGe2
1.0
4.9438 0.0000 0.0000
0.0000 4.9438 0.0000
0.0000 0.0000 5.8378
Ca Mg Zn Ge
1 1 1 2
Cartesian
0.0000 0.0000 0.0000
0.0000 0.0000 2.9189
2.4719 2.4719 0.0000
0.0000 2.4719 2.9189
2.4719 0.0000 2.9189
```

Computed properties:
As for the space-group type: No. 123. For the energy of formation from the pure elements, the calculation gives 0.48 eV per atom. Its final energy is -11.73 eV for the cell shown.

Ba7Bi2SbO2 | PBE | optimized geometry

The structure in POSCAR format:
```
Ba7Bi2SbO2
1.0
-2.7065 2.7065 14.9077
2.7065 -2.7065 14.9077
2.7065 2.7065 -14.9077
Ba Bi Sb O
7 2 1 2
Cartesian
0.0000 0.0000 0.0000
2.7065 0.0000 2.8189
0.0000 0.0000 6.0044
2.7065 0.0000 12.0888
0.0000 2.7065 2.8189
0.0000 0.0000 23.8109
0.0000 2.7065 12.0888
0.0000 0.0000 9.5748
0.0000 0.0000 20.2405
0.0000 0.0000 14.9077
0.0000 0.0000 2.7158
0.0000 0.0000 27.0995
```

Computed properties:
As for the space-group type: No. 139. The uncorrected formation energy comes out at -1.448 eV per atom. Its final energy is -52.64 eV for the cell shown.

Mn2ZnFeH | PBE | optimized geometry

The structure in POSCAR format:
```
Mn2ZnFeH
1.0
3.6032 0.0000 0.0000
0.0000 3.6032 0.0000
0.0000 0.0000 3.8954
Mn Zn Fe H
2 1 1 1
Cartesian
0.0000 1.8016 0.0000
1.8016 0.0000 0.0000
0.0000 0.0000 1.9477
1.8016 1.8016 1.9477
0.0000 0.0000 0.0000
```

Computed properties:
As for the space-group type: No. 123. The value obtained for the energy above the most stable polymorph in this dataset is 122 meV per atom. Its final energy is -30.55 eV for the cell shown.

Mn2FeAu | PBE | optimized geometry

The structure in POSCAR format:
```
Mn2FeAu
1.0
2.7108 0.0000 0.0000
-1.3554 2.3476 0.0000
0.0000 0.0000 26.0402
Mn Fe Au
6 3 3
Cartesian
0.0000 0.0000 0.0000
0.0000 0.0000 6.6916
0.0000 1.5651 17.3602
0.0000 1.5651 24.0517
1.3554 0.7825 8.6801
1.3554 0.7825 15.3716
0.0000 0.0000 13.3693
0.0000 1.5651 4.6893
1.3554 0.7825 22.0494
0.0000 0.0000 19.7136
0.0000 1.5651 11.0336
1.3554 0.7825 2.3535
```

Computed properties:
As for the space-group type: No. 160. The value obtained for the energy above the most stable polymorph in this dataset is 154 meV per atom. For the energy of formation from the pure elements, the calculation gives 0.29 eV per atom. Its final energy is -86.71 eV for the cell shown.

GeTeNF2 | PBE | optimized geometry

The structure in POSCAR format:
```
GeTeNF2
1.0
4.5520 0.0000 0.0000
0.0000 4.5520 0.0000
0.0000 0.0000 4.1605
Ge Te N F
1 1 1 2
Cartesian
0.0000 0.0000 0.0000
2.2760 2.2760 2.0802
2.2760 2.2760 0.0000
0.0000 2.2760 2.0802
2.2760 0.0000 2.0802
```

Computed properties:
As for the space-group type: No. 123. The value obtained for the energy above the most stable polymorph in this dataset is 206 meV per atom. The uncorrected formation energy comes out at -0.075 eV per atom. Its final energy is -20.20 eV for the cell shown.

Pm6Ir3Br2 | PBE | optimized geometry

The structure in POSCAR format:
```
Pm6Ir3Br2
1.0
3.6076 -6.2568 0.0000
3.6076 6.2568 0.0000
-2.4180 0.0000 7.5330
Pm Ir Br
6 3 2
Cartesian
-0.0182 2.0785 6.0442
1.1939 0.0000 1.4644
-0.0182 -2.0785 6.0442
4.8152 2.0785 1.4889
3.6031 0.0000 6.0686
4.8152 -2.0785 1.4889
3.6076 4.1414 0.0000
3.6076 0.0000 0.0000
3.6076 -4.1414 0.0000
2.3985 2.0835 3.7665
2.3985 -2.0835 3.7665
```

Computed properties:
As for the space-group type: No. 12. The uncorrected formation energy comes out at -0.904 eV per atom. Its final energy is -68.37 eV for the cell shown.

CsMnP2S8 | PBE | optimized geometry

The structure in POSCAR format:
```
CsMnP2S8
1.0
5.8374 0.0000 0.0000
-2.9187 5.0554 0.0000
0.0000 0.0000 10.3579
Cs Mn P S
1 1 2 8
Cartesian
0.0000 0.0000 0.0000
0.0000 0.0000 5.1790
0.0000 3.3703 7.1373
2.9187 1.6851 3.2207
-1.9263 3.4342 3.8235
0.9078 1.6700 3.8235
1.9002 0.0488 6.5344
0.0000 3.3703 9.1292
2.9187 1.6851 1.2288
1.0185 5.0066 3.8235
2.0109 3.3853 6.5344
4.8451 1.6212 6.5344
```

Computed properties:
As for the space-group type: No. 147. The uncorrected formation energy comes out at -0.340 eV per atom. Its final energy is -57.94 eV for the cell shown.

EuMgPtAu | PBE | optimized geometry

The structure in POSCAR format:
```
EuMgPtAu
1.0
6.9871 0.0000 0.0000
0.0000 6.9871 0.0000
0.0000 0.0000 6.9871
Eu Mg Pt Au
4 4 4 4
Cartesian
0.0000 0.0000 0.0000
0.0000 3.4935 3.4935
3.4935 0.0000 3.4935
3.4935 3.4935 0.0000
0.0000 0.0000 3.4935
0.0000 3.4935 0.0000
3.4935 0.0000 0.0000
3.4935 3.4935 3.4935
1.7468 1.7468 5.2403
1.7468 5.2403 1.7468
5.2403 1.7468 1.7468
5.2403 5.2403 5.2403
1.7468 1.7468 1.7468
1.7468 5.2403 5.2403
5.2403 1.7468 5.2403
5.2403 5.2403 1.7468
```

Computed properties:
As for the space-group type: No. 216. For the energy of formation from the pure elements, the calculation gives -0.69 eV per atom. Its final energy is -95.74 eV for the cell shown.